CeTm2Si | PBE | optimized geometry

ΔE_f (raw), eV per atom: -0.106
Space-group type: No. 166
Polymorph energy (0 for the lowest one), meV per atom: 149.0

Lattice parameters (Å, degrees): 3.522 3.522 10.152 80.01 80.01 60.00
Last column: magnetic moment on the atom in μB.
Positions (direct):
Si 0.000 0.000 0.000  0.01
Tm 0.266 0.266 0.202  0.07
Tm 0.734 0.734 0.798  0.07
Ce 0.500 0.500 0.500  0.85

Li2CuNi | PBE | optimized geometry

ΔH_f (0 K), eV per atom: -0.0102
Space-group type: No. 71
Polymorph energy (0 for the lowest one), meV per atom: 2.5

Lattice parameters (Å, degrees): 4.877 4.877 4.877 146.91 129.64 61.58
Positions (direct):
Ni 0.750 0.250 0.500
Cu 0.250 0.750 0.500
Li 0.998 0.998 0.000
Li 0.502 0.502 0.000